Crystalline Rb2HgCl6F at its relaxed geometry. Source: Alexandria, functional PBE.

Output
- total energy (eV per atom) = -2.42
- theoretical density (g/cm3) = 3.5
- raw formation energy (eV per atom) = -0.9021
- SG = I4/mmm, No. 139

Cell lengths 7.9274, 7.9274, 7.2178 Å; angles 56.69, 56.69, 90.00 degrees
With the nearest neighbours (Å) after each atom.
Atoms (fractional coordinates):
1 Cl 0.7741 0.2259 0.0000  1 Hg 2.53
2 Cl 0.2807 0.2807 0.4386  1 F 1.99
3 Cl 0.7193 0.7193 0.5614  1 F 1.99
4 Cl 0.2259 0.2259 0.0000  1 Hg 2.53
5 Cl 0.2259 0.7741 0.0000  1 Hg 2.53
6 Cl 0.7741 0.7741 0.0000  1 Hg 2.53
7 Hg 0.0000 0.0000 0.0000  6 Cl 2.53-2.55
8 F 0.5000 0.5000 0.0000  2 Cl 1.99
9 Rb 0.2500 0.7500 0.5000  12 Cl 3.62-3.97
10 Rb 0.7500 0.2500 0.5000  12 Cl 3.62-3.97

---

Crystalline Rb3Hg2Cl3F4 at its relaxed geometry. Source: Alexandria, functional PBE.

Output
- total energy (eV per atom) = -3.10
- theoretical density (g/cm3) = 4.5
- raw formation energy (eV per atom) = -1.7184
- SG = Imm2, No. 44

Cell lengths 4.6930, 5.2595, 13.0156 Å; angles 101.66, 100.39, 90.00 degrees
With the nearest neighbours (Å) after each atom.
Atoms (fractional coordinates):
1 Hg 0.8927 0.8894 0.7788  3 F 2.28-2.35
2 Hg 0.1139 0.1106 0.2212  3 F 2.28-2.35
3 Rb 0.5007 0.5000 0.0000  8 Cl 3.41-3.53
4 Rb 0.3062 0.3085 0.6170  1 F 2.68
5 Rb 0.6892 0.6915 0.3830  1 F 2.68
6 Cl 0.0978 0.5988 0.1976  2 Hg 2.65
7 Cl 0.0032 0.0000 0.0000  2 Hg 2.77
8 Cl 0.9002 0.4012 0.8024  2 Hg 2.65
9 F 0.6216 0.1182 0.2364  2 Hg 2.35
10 F 0.2103 0.2017 0.4035  1 Hg 2.28
11 F 0.3852 0.8818 0.7636  2 Hg 2.35
12 F 0.8068 0.7983 0.5965  1 Hg 2.28

---

Crystalline Rb3Hg2Cl5F2 at its relaxed geometry. Source: Alexandria, functional PBE.

Output
- total energy (eV per atom) = -2.86
- theoretical density (g/cm3) = 4.0
- raw formation energy (eV per atom) = -1.4853
- SG = I4/mmm, No. 139

Cell lengths 5.4285, 5.4285, 12.7824 Å; angles 102.26, 102.26, 90.00 degrees
With the nearest neighbours (Å) after each atom.
Atoms (fractional coordinates):
1 Rb 0.1901 0.1901 0.3802  1 F 2.64
2 Rb 0.8099 0.8099 0.6198  1 F 2.64
3 Rb 0.0000 0.0000 0.0000  12 Cl 3.75-3.84
4 Hg 0.6096 0.6096 0.2191  1 F 2.24
5 Hg 0.3904 0.3904 0.7809  1 F 2.24
6 F 0.7015 0.7015 0.4030  1 Hg 2.24
7 F 0.2985 0.2985 0.5970  1 Hg 2.24
8 Cl 0.3941 0.8941 0.7882  2 Hg 2.72
9 Cl 0.8941 0.3941 0.7882  2 Hg 2.72
10 Cl 0.5000 0.5000 0.0000  2 Hg 2.67
11 Cl 0.6059 0.1059 0.2118  2 Hg 2.72
12 Cl 0.1059 0.6059 0.2118  2 Hg 2.72

---

Crystalline Rb2HgCl2F2 at its relaxed geometry. Source: Alexandria, functional PBE.

Output
- total energy (eV per atom) = -3.20
- theoretical density (g/cm3) = 4.3
- raw formation energy (eV per atom) = -1.8222
- SG = I4/mmm, No. 139

Cell lengths 4.8468, 4.8468, 8.5973 Å; angles 106.37, 106.37, 90.00 degrees
With the nearest neighbours (Å) after each atom.
Atoms (fractional coordinates):
1 Cl 0.1613 0.1613 0.3227  1 Hg 2.54
2 Cl 0.8387 0.8387 0.6773  1 Hg 2.54
3 Hg 0.0000 0.0000 0.0000  4 F 2.42, 2 Cl 2.54
4 Rb 0.6220 0.6220 0.2440  4 F 3.09, 1 Cl 3.42
5 Rb 0.3780 0.3780 0.7560  4 F 3.09, 1 Cl 3.42
6 F 0.5000 0.0000 0.0000  2 Hg 2.42
7 F 0.0000 0.5000 0.0000  2 Hg 2.42

---

Crystalline ReHg2Cl2F4 at its relaxed geometry. Source: Alexandria, functional PBE.

Output
- total energy (eV per atom) = -3.96
- theoretical density (g/cm3) = 5.6
- raw formation energy (eV per atom) = -1.2658
- SG = C2/m, No. 12

Cell lengths 6.4379, 6.3643, 6.3643 Å; angles 57.58, 96.59, 96.59 degrees
With the nearest neighbours (Å) after each atom.
Atoms (fractional coordinates):
1 Re 0.5000 0.0000 0.0000  4 F 1.90
2 Cl 0.7515 0.8660 0.8660  1 Re 2.34
3 Cl 0.2485 0.1340 0.1340  1 Re 2.34
4 F 0.3477 0.6859 0.1268  1 Re 1.90
5 F 0.6523 0.8732 0.3141  1 Re 1.90
6 F 0.6523 0.3141 0.8732  1 Re 1.90
7 F 0.3477 0.1268 0.6859  1 Re 1.90
8 Hg 0.1408 0.6116 0.6116  1 Hg 2.88, 2 Cl 3.15
9 Hg 0.8592 0.3884 0.3884  1 Hg 2.88, 2 Cl 3.15

---

Crystalline Hg4SCl2F at its relaxed geometry. Source: Alexandria, functional PBE.

Output
- total energy (eV per atom) = -1.83
- theoretical density (g/cm3) = 6.4
- raw formation energy (eV per atom) = -0.4713
- SG = Pmn2_1, No. 31

Cell lengths 7.0052, 8.3575, 8.2354 Å; angles 90.00, 90.00, 90.00 degrees
With the nearest neighbours (Å) after each atom.
Atoms (fractional coordinates):
1 Hg 0.8132 0.8415 0.5000  1 F 2.20, 1 S 2.45
2 Hg 0.3911 0.0485 0.5000  1 F 2.46, 1 S 2.46, 2 Cl 2.60
3 Hg 0.8911 0.9515 0.0000  1 F 2.46, 1 S 2.46, 2 Cl 2.60
4 Hg 0.4381 0.6692 0.8280  1 S 2.83, 1 Hg 2.83, 1 F 3.04
5 Hg 0.9381 0.3308 0.3280  1 S 2.83, 1 Hg 2.83, 1 F 3.04
6 Hg 0.4381 0.6692 0.1720  1 S 2.83, 1 Hg 2.83, 1 F 3.04
7 Hg 0.3132 0.1585 0.0000  1 F 2.20, 1 S 2.45
8 Hg 0.9381 0.3308 0.6720  1 S 2.83, 1 Hg 2.83, 1 F 3.04
9 S 0.4761 0.7631 0.5000  2 Hg 2.45-2.46
10 S 0.9761 0.2369 0.0000  2 Hg 2.45-2.46
11 Cl 0.9506 0.7284 0.2149  2 Hg 2.60-2.71
12 Cl 0.4506 0.2716 0.2851  2 Hg 2.60-2.71
13 Cl 0.4506 0.2716 0.7149  2 Hg 2.60-2.71
14 Cl 0.9506 0.7284 0.7851  2 Hg 2.60-2.71
15 F 0.5421 0.9787 0.0000  2 Hg 2.20-2.46
16 F 0.0421 0.0213 0.5000  2 Hg 2.20-2.46

---

Crystalline HgSCl2F at its relaxed geometry. Source: Alexandria, functional PBE.

Output
- total energy (eV per atom) = -1.80
- theoretical density (g/cm3) = 4.8
- offset from the most stable computed form (eV per formula unit) = 0.00
- raw formation energy (eV per atom) = 0.2036
- SG = P4/mmm, No. 123

Cell lengths 5.5471, 5.5471, 3.6622 Å; angles 90.00, 90.00, 90.00 degrees
With the nearest neighbours (Å) after each atom.
Atoms (fractional coordinates):
1 F 0.0000 0.0000 0.0000  2 S 1.83
2 S 0.0000 0.0000 0.5000  2 F 1.83
3 Cl 0.0000 0.5000 0.0000  2 F 2.77
4 Cl 0.5000 0.0000 0.0000  2 F 2.77
5 Hg 0.5000 0.5000 0.5000  8 Cl 3.32, 2 Hg 3.66

---

Crystalline HgSCl2F at its relaxed geometry. Source: Alexandria, functional PBE.

Output
- total energy (eV per atom) = -1.65
- theoretical density (g/cm3) = 3.8
- offset from the most stable computed form (eV per formula unit) = 0.73
- raw formation energy (eV per atom) = 0.3493
- SG = P4/mmm, No. 123

Cell lengths 5.0526, 5.0526, 5.5835 Å; angles 90.00, 90.00, 90.00 degrees
With the nearest neighbours (Å) after each atom.
Atoms (fractional coordinates):
1 Cl 0.0000 0.5000 0.0000  2 Hg 2.53
2 Cl 0.5000 0.0000 0.0000  2 Hg 2.53
3 Hg 0.0000 0.0000 0.0000  4 Cl 2.53, 2 S 2.79
4 S 0.0000 0.0000 0.5000  2 Hg 2.79
5 F 0.5000 0.5000 0.5000  4 S 3.57, 8 Cl 3.77

---

Crystalline HgSbClF2 at its relaxed geometry. Source: Alexandria, functional PBE.

Output
- total energy (eV per atom) = -3.26
- theoretical density (g/cm3) = 5.9
- raw formation energy (eV per atom) = -1.2588
- SG = P4/mmm, No. 123

Cell lengths 4.5492, 4.5492, 5.3735 Å; angles 90.00, 90.00, 90.00 degrees
With the nearest neighbours (Å) after each atom.
Atoms (fractional coordinates):
1 Sb 0.0000 0.0000 0.0000  4 F 2.27
2 F 0.0000 0.5000 0.0000  2 Sb 2.27
3 F 0.5000 0.0000 0.0000  2 Sb 2.27
4 Hg 0.5000 0.5000 0.5000  4 Cl 3.22, 8 F 3.52
5 Cl 0.0000 0.0000 0.5000  2 Sb 2.69

---

Crystalline SiHgClF6 at its relaxed geometry. Source: Alexandria, functional PBE.

Output
- total energy (eV per atom) = -4.18
- theoretical density (g/cm3) = 4.1
- raw formation energy (eV per atom) = -2.0900
- SG = P1, No. 1

Cell lengths 6.5883, 5.6219, 5.5660 Å; angles 79.72, 73.33, 50.70 degrees
With the nearest neighbours (Å) after each atom.
Atoms (fractional coordinates):
1 F 0.1271 0.4635 0.8141  1 Si 1.72
2 F 0.4699 0.9377 0.6460  1 Si 1.79
3 F 0.2391 0.6595 0.4008  1 Si 1.68
4 F 0.5834 0.2793 0.6229  1 Si 1.69
5 F 0.1165 0.3238 0.4308  1 Si 1.70
6 F 0.5752 0.1231 0.2439  1 Si 1.76
7 Si 0.3439 0.3150 0.5268  6 F 1.68-1.79
8 Cl 0.8739 0.2762 0.9886  1 Hg 2.38, 2 F 2.40-2.60
9 Hg 0.6707 0.6219 0.3259  2 F 2.21-2.45, 1 Cl 2.38

---

Crystalline Sr3HgCl2F6 at its relaxed geometry. Source: Alexandria, functional PBE.

Output
- total energy (eV per atom) = -4.53
- theoretical density (g/cm3) = 4.0
- raw formation energy (eV per atom) = -2.8366
- SG = C2/m, No. 12

Cell lengths 5.2626, 7.7068, 7.7659 Å; angles 119.75, 82.24, 90.00 degrees
With the nearest neighbours (Å) after each atom.
Atoms (fractional coordinates):
1 Sr 0.5000 0.0000 0.5000  4 F 2.44-2.45
2 Sr 0.5000 0.5000 0.5000  4 F 2.44-2.45
3 Sr 0.0000 0.5000 0.0000  4 F 2.48
4 F 0.2949 0.1934 0.8504  2 Sr 2.44-2.48, 1 Hg 2.61
5 F 0.2949 0.6570 0.8504  2 Sr 2.44-2.48, 1 Hg 2.61
6 F 0.7051 0.3430 0.1496  2 Sr 2.44-2.48, 1 Hg 2.61
7 F 0.6372 0.8400 0.6800  1 Hg 2.17
8 F 0.3628 0.1600 0.3200  1 Hg 2.17
9 F 0.7051 0.8066 0.1496  2 Sr 2.44-2.48, 1 Hg 2.61
10 Hg 0.5000 0.0000 0.0000  2 F 2.17
11 Cl 0.1321 0.7000 0.4000  3 Sr 2.88-2.89, 1 F 2.97
12 Cl 0.8679 0.3000 0.6000  3 Sr 2.88-2.89, 1 F 2.97

---

Crystalline Ta2HgClF at its relaxed geometry. Source: Alexandria, functional PBE.

Output
- total energy (eV per atom) = -5.22
- theoretical density (g/cm3) = 11.1
- raw formation energy (eV per atom) = 0.3235
- SG = P4/mmm, No. 123

Cell lengths 4.2620, 5.0641, 4.2620 Å; angles 90.00, 90.00, 90.00 degrees
With the nearest neighbours (Å) after each atom.
Atoms (fractional coordinates):
1 Hg 0.5000 0.5000 0.5000  4 Cl 3.01, 8 Ta 3.31
2 Ta 0.5000 0.0000 0.0000  2 F 2.13
3 Ta 0.0000 0.0000 0.5000  2 F 2.13
4 F 0.0000 0.0000 0.0000  4 Ta 2.13
5 Cl 0.0000 0.5000 0.0000  2 F 2.53

---

> The highest total energy belongs to which entry?

number 8

---

> raw formation energy of number 5 (ReHg2Cl2F4)?

-1.2658 eV per atom